First-principles (GGA-PBE) data for a relaxed Rb3Dy2TmO6 crystal, as listed in the Alexandria database. Values from VASP.

Properties
The crystal system is monoclinic. Its density of states at the Fermi level is 0.0 states/eV per cell. The calculation puts the formation energy from raw total energies at -2712 meV/atom. For the magnetic moment, the calculation gives 0.00 Bohr magnetons per cell.

Structure (Quantum ESPRESSO input):
```
&SYSTEM
  ibrav = 0, nat = 12, ntyp = 4
/
ATOMIC_SPECIES
Rb 85.47 Rb.upf
Dy 162.50 Dy.upf
Tm 168.93 Tm.upf
O 16.00 O.upf
ATOMIC_POSITIONS angstrom
Rb 0.0000 0.0000 0.0000
Rb 3.0242 1.7442 0.0000
Rb 3.0242 -1.7442 0.0000
Dy 2.0159 3.4919 3.2777
Dy 2.0159 -3.4919 3.2777
Tm 2.0159 0.0000 3.2777
O 1.0200 1.7247 2.1346
O 0.0244 0.0000 4.4214
O 1.0200 -1.7247 2.1346
O 3.0117 1.7247 4.4208
O 4.0073 0.0000 2.1340
O 3.0117 -1.7247 4.4208
CELL_PARAMETERS angstrom
3.0242 -5.2380 0.0000
3.0242 5.2380 0.0000
-2.0166 0.0000 6.5554
```